Arrangement P

BaCd3Au | PBE | optimized geometry

CIF file:
```
data_BaCd3Au
_cell_length_a 5.365
_cell_length_b 5.365
_cell_length_c 5.365
_cell_angle_alpha 90.00
_cell_angle_beta 90.00
_cell_angle_gamma 90.00
_symmetry_space_group_name_H-M 'P m -3 m'
_symmetry_Int_Tables_number 221
_symmetry_space_group_name_Hall '-P 4 2 3'
loop_
_atom_site_label
_atom_site_type_symbol
_atom_site_fract_x
_atom_site_fract_y
_atom_site_fract_z
_atom_site_occupancy
Ba1 Ba 0.000 0.000 0.000 1
Cd1 Cd 0.000 0.500 0.500 1
Au1 Au 0.500 0.500 0.500 1
```

Summary:
* calculated density: 7.2 Mg/m³


Arrangement Q

BaCd3Au | PBE | optimized geometry

CIF file:
```
data_BaCd3Au
_cell_length_a 6.780
_cell_length_b 6.780
_cell_length_c 6.780
_cell_angle_alpha 90.00
_cell_angle_beta 90.00
_cell_angle_gamma 90.00
_symmetry_space_group_name_H-M 'P m -3 m'
_symmetry_Int_Tables_number 221
_symmetry_space_group_name_Hall '-P 4 2 3'
loop_
_atom_site_label
_atom_site_type_symbol
_atom_site_fract_x
_atom_site_fract_y
_atom_site_fract_z
_atom_site_occupancy
Ba1 Ba 0.000 0.000 0.000 1
Cd1 Cd 0.000 0.000 0.500 1
Au1 Au 0.500 0.500 0.500 1
```

Summary:
* calculated density: 3.6 Mg/m³


Arrangement R

BaCd3Au | PBE | optimized geometry

CIF file:
```
data_BaCd3Au
_cell_length_a 6.858
_cell_length_b 12.662
_cell_length_c 6.451
_cell_angle_alpha 90.00
_cell_angle_beta 90.00
_cell_angle_gamma 90.00
_symmetry_space_group_name_H-M 'C m c m'
_symmetry_Int_Tables_number 63
_symmetry_space_group_name_Hall '-C 2c 2'
loop_
_atom_site_label
_atom_site_type_symbol
_atom_site_fract_x
_atom_site_fract_y
_atom_site_fract_z
_atom_site_occupancy
Ba1 Ba 0.000 0.245 0.250 1
Cd1 Cd 0.000 0.127 0.750 1
Cd2 Cd 0.225 0.500 0.000 1
Au1 Au 0.000 0.350 0.750 1
```

Summary:
* calculated density: 8.0 Mg/m³


Least stable of them? arrangement Q.


Arrangement P

Ba6CdAu | PBE | optimized geometry

CIF file:
```
data_Ba6CdAu
_cell_length_a 5.990
_cell_length_b 5.990
_cell_length_c 21.949
_cell_angle_alpha 90.00
_cell_angle_beta 90.00
_cell_angle_gamma 90.00
_symmetry_space_group_name_H-M 'I 4/m m m'
_symmetry_Int_Tables_number 139
_symmetry_space_group_name_Hall '-I 4 2'
loop_
_atom_site_label
_atom_site_type_symbol
_atom_site_fract_x
_atom_site_fract_y
_atom_site_fract_z
_atom_site_occupancy
Ba1 Ba 0.000 0.000 0.248 1
Ba2 Ba 0.000 0.500 0.088 1
Cd1 Cd 0.000 0.000 0.000 1
Au1 Au 0.000 0.000 0.500 1
```

Summary:
* calculated density: 4.8 Mg/m³


Arrangement Q

Ba6CdAu | PBE | optimized geometry

CIF file:
```
data_Ba6CdAu
_cell_length_a 8.1592
_cell_length_b 8.1592
_cell_length_c 23.5219
_cell_angle_alpha 90.00
_cell_angle_beta 90.00
_cell_angle_gamma 120.00
_symmetry_space_group_name_H-M 'R -3'
_symmetry_Int_Tables_number 148
_symmetry_space_group_name_Hall '-R 3'
loop_
_atom_site_label
_atom_site_type_symbol
_atom_site_fract_x
_atom_site_fract_y
_atom_site_fract_z
_atom_site_occupancy
Ba1 Ba 0.0012 0.6529 0.0849 1
Cd1 Cd 0.0000 0.0000 0.0000 1
Au1 Au 0.0000 0.0000 0.5000 1
```

Summary:
* calculated density: 4.2 Mg/m³


Least stable of them? arrangement Q.


Arrangement P

Ba6Cd2Au | PBE | optimized geometry

CIF file:
```
data_Ba6Cd2Au
_cell_length_a 11.553
_cell_length_b 11.814
_cell_length_c 11.878
_cell_angle_alpha 90.00
_cell_angle_beta 90.00
_cell_angle_gamma 90.00
_symmetry_space_group_name_H-M 'I m m m'
_symmetry_Int_Tables_number 71
_symmetry_space_group_name_Hall '-I 2 2'
loop_
_atom_site_label
_atom_site_type_symbol
_atom_site_fract_x
_atom_site_fract_y
_atom_site_fract_z
_atom_site_occupancy
Ba1 Ba 0.000 0.165 0.237 1
Ba2 Ba 0.167 0.500 0.210 1
Ba3 Ba 0.225 0.310 0.500 1
Cd1 Cd 0.000 0.357 0.000 1
Cd2 Cd 0.122 0.000 0.500 1
Au1 Au 0.000 0.000 0.000 1
Au2 Au 0.000 0.500 0.500 1
```

Summary:
* calculated density: 5.1 Mg/m³


Arrangement Q

Ba6Cd2Au | PBE | optimized geometry

CIF file:
```
data_Ba6Cd2Au
_cell_length_a 8.082
_cell_length_b 9.188
_cell_length_c 14.301
_cell_angle_alpha 90.00
_cell_angle_beta 123.23
_cell_angle_gamma 90.00
_symmetry_space_group_name_H-M 'P 1 21/c 1'
_symmetry_Int_Tables_number 14
loop_
_symmetry_equiv_pos_as_xyz
'x,y,z'
'-x,-y,-z'
'-x,y+1/2,-z+1/2'
'x,-y+1/2,z+1/2'
loop_
_atom_site_label
_atom_site_type_symbol
_atom_site_fract_x
_atom_site_fract_y
_atom_site_fract_z
_atom_site_occupancy
Ba1 Ba 0.102 0.183 0.436 1
Ba2 Ba 0.276 0.677 0.437 1
Ba3 Ba 0.389 0.030 0.254 1
Cd1 Cd 0.192 0.117 0.746 1
Au1 Au 0.000 0.000 0.000 1
```

Summary:
* calculated density: 4.7 Mg/m³


Least stable of them? arrangement P.


Arrangement P

Ba8Cd2Au | PBE | optimized geometry

CIF file:
```
data_Ba8Cd2Au
_cell_length_a 21.468
_cell_length_b 6.002
_cell_length_c 8.223
_cell_angle_alpha 90.00
_cell_angle_beta 105.99
_cell_angle_gamma 90.00
_symmetry_space_group_name_H-M 'C 1 2/m 1'
_symmetry_Int_Tables_number 12
loop_
_symmetry_equiv_pos_as_xyz
'x,y,z'
'-x,-y,-z'
'-x,y,-z'
'x,-y,z'
'x+1/2,y+1/2,z'
'-x+1/2,-y+1/2,-z'
'-x+1/2,y+1/2,-z'
'x+1/2,-y+1/2,z'
loop_
_atom_site_label
_atom_site_type_symbol
_atom_site_fract_x
_atom_site_fract_y
_atom_site_fract_z
_atom_site_occupancy
Ba1 Ba 0.031 0.000 0.301 1
Ba2 Ba 0.091 0.500 0.926 1
Ba3 Ba 0.158 0.500 0.469 1
Ba4 Ba 0.211 0.000 0.813 1
Cd1 Cd 0.185 0.000 0.220 1
Au1 Au 0.000 0.500 0.500 1
```

Summary:
* calculated density: 5.0 Mg/m³


Arrangement Q

Ba8Cd2Au | PBE | optimized geometry

CIF file:
```
data_Ba8Cd2Au
_cell_length_a 14.759
_cell_length_b 10.647
_cell_length_c 8.100
_cell_angle_alpha 90.00
_cell_angle_beta 108.40
_cell_angle_gamma 90.00
_symmetry_space_group_name_H-M 'C 1 2/m 1'
_symmetry_Int_Tables_number 12
loop_
_symmetry_equiv_pos_as_xyz
'x,y,z'
'-x,-y,-z'
'-x,y,-z'
'x,-y,z'
'x+1/2,y+1/2,z'
'-x+1/2,-y+1/2,-z'
'-x+1/2,y+1/2,-z'
'x+1/2,-y+1/2,z'
loop_
_atom_site_label
_atom_site_type_symbol
_atom_site_fract_x
_atom_site_fract_y
_atom_site_fract_z
_atom_site_occupancy
Ba1 Ba 0.078 0.000 0.284 1
Ba2 Ba 0.128 0.500 0.237 1
Ba3 Ba 0.148 0.294 0.737 1
Cd1 Cd 0.181 0.000 0.948 1
Au1 Au 0.000 0.500 0.500 1
```

Summary:
* calculated density: 4.2 Mg/m³


Least stable of them? arrangement Q.